(1)
The following is a PBE calculation of Cs9Rb6Pd after structural relaxation, from Alexandria via LeMat-Bulk.

VASP energy = -1.1395 eV per atom
formation enthalpy at 0 K = 0.0280 eV per atom

Lattice parameters (Å, degrees): 11.821 11.821 22.202 90.00 90.00 90.00
Space group I4/m (No. 87)
Unique sites:
Cs (0.000, 0.000, 0.000) [2 per cell]
Cs (0.106, 0.302, 0.162) [16 per cell]
Rb (0.000, 0.000, 0.347) [4 per cell]
Rb (0.085, 0.273, 0.500) [8 per cell]
Pd (0.000, 0.000, 0.500) [2 per cell]

***

(2)
The following is a PBE calculation of Ho3ThN4 after structural relaxation, from Alexandria via LeMat-Bulk.

VASP energy = -8.4917 eV per atom
excess energy over the best structure of this formula in the dataset = 0.22 kcal/mol of atoms

Lattice parameters (Å, degrees): 4.970 4.970 4.970 90.00 90.00 90.00
Space group Pm-3m (No. 221)
Unique sites:
Ho (0.000, 0.000, 0.500) [3 per cell]
Th (0.500, 0.500, 0.500) [1 per cell]
N (0.000, 0.000, 0.000) [1 per cell]
N (0.000, 0.500, 0.500) [3 per cell]

***

(3)
The following is a PBE calculation of Ce4As2I5 after structural relaxation, from Alexandria via LeMat-Bulk.

VASP energy = -4.8564 eV per atom

Lattice parameters (Å, degrees): 17.354 4.424 13.502 90.00 122.80 90.00
Space group C2/m (No. 12)
Unique sites:
Ce (0.051, 0.000, 0.193) [4 per cell]
Ce (0.188, 0.500, 0.839) [4 per cell]
As (0.144, 0.000, 0.934) [4 per cell]
I (0.000, 0.500, 0.000) [2 per cell]
I (0.038, 0.500, 0.363) [4 per cell]
I (0.243, 0.500, 0.290) [4 per cell]

***

(4)
The following is a PBE calculation of BaAgH2 after structural relaxation, from Alexandria via LeMat-Bulk.

VASP energy = -2.9468 eV per atom
excess energy over the best structure of this formula in the dataset = 0.00 kcal/mol of atoms

Lattice parameters (Å, degrees): 4.936 4.936 11.511 90.00 90.00 90.00
Space group I-42d (No. 122)
Unique sites:
Ba (0.000, 0.000, 0.000) [4 per cell]
Ag (0.000, 0.000, 0.500) [4 per cell]
H (0.076, 0.250, 0.625) [8 per cell]

***

(5)
The following is a PBE calculation of Hf2In2Ge after structural relaxation, from Alexandria via LeMat-Bulk.

VASP energy = -6.2107 eV per atom
excess energy over the best structure of this formula in the dataset = 0.00 kcal/mol of atoms
formation enthalpy at 0 K = -0.2105 eV per atom

Lattice parameters (Å, degrees): 7.019 7.019 4.609 90.00 90.00 90.00
Space group P4/mbm (No. 127)
Unique sites:
Hf (0.158, 0.342, 0.000) [4 per cell]
In (0.152, 0.652, 0.500) [4 per cell]
Ge (0.000, 0.000, 0.000) [2 per cell]

***

(6)
The following is a PBE calculation of Li2Zn2Ge after structural relaxation, from Alexandria via LeMat-Bulk.

VASP energy = -2.3597 eV per atom
excess energy over the best structure of this formula in the dataset = 0.61 kcal/mol of atoms
formation enthalpy at 0 K = -0.1612 eV per atom

Lattice parameters (Å, degrees): 2.696 4.296 26.961 90.00 90.00 90.00
Space group Imma (No. 74)
Unique sites:
Li (0.000, 0.250, 0.025) [4 per cell]
Li (0.000, 0.250, 0.116) [4 per cell]
Zn (0.000, 0.250, 0.292) [4 per cell]
Zn (0.000, 0.250, 0.826) [4 per cell]
Ge (0.000, 0.250, 0.572) [4 per cell]

***

(7)
The following is a PBE calculation of TlSbPtPb2 after structural relaxation, from Alexandria via LeMat-Bulk.

VASP energy = -3.0347 eV per atom

Lattice parameters (Å, degrees): 5.866 5.866 5.614 90.00 90.00 90.00
Space group P4/mmm (No. 123)
Unique sites:
Tl (0.000, 0.000, 0.000) [1 per cell]
Sb (0.000, 0.000, 0.500) [1 per cell]
Pt (0.500, 0.500, 0.000) [1 per cell]
Pb (0.000, 0.500, 0.500) [2 per cell]

***

(8)
The following is a PBE calculation of LiDy2PaSe5 after structural relaxation, from Alexandria via LeMat-Bulk.

VASP energy = -5.7237 eV per atom

Lattice parameters (Å, degrees): 4.018 16.986 12.534 90.00 90.00 90.00
Space group Cmc2_1 (No. 36)
Unique sites:
Li (0.000, 0.021, 0.000) [4 per cell]
Dy (0.000, 0.371, 0.821) [4 per cell]
Dy (0.000, 0.393, 0.219) [4 per cell]
Pa (0.000, 0.299, 0.535) [4 per cell]
Se (0.000, 0.004, 0.310) [4 per cell]
Se (0.000, 0.132, 0.534) [4 per cell]
Se (0.000, 0.187, 0.872) [4 per cell]
Se (0.000, 0.215, 0.200) [4 per cell]
Se (0.000, 0.452, 0.602) [4 per cell]

***

Repeat the fourth record exactly.
The following is a PBE calculation of BaAgH2 after structural relaxation, from Alexandria via LeMat-Bulk.

VASP energy = -2.9468 eV per atom
excess energy over the best structure of this formula in the dataset = 0.00 kcal/mol of atoms

Lattice parameters (Å, degrees): 4.936 4.936 11.511 90.00 90.00 90.00
Space group I-42d (No. 122)
Unique sites:
Ba (0.000, 0.000, 0.000) [4 per cell]
Ag (0.000, 0.000, 0.500) [4 per cell]
H (0.076, 0.250, 0.625) [8 per cell]

***

Which value of VASP energy does entry 8 give? -5.7237 eV per atom

***

The lowest VASP energy belongs to which entry? Ho3ThN4

***

Among the records above, which one has the highest VASP energy? Cs9Rb6Pd